Record 1
Computed, not measured: crystalline GdHgTe at its relaxed geometry at the PBE level of DFT.

Properties
calculated total energy	-19.442	eV for the cell shown
formation energy without anion corrections	-0.64	eV/atom

Structure (CIF):
```
data_GdHgTe
_chemical_formula_sum 'Gd1 Hg1 Te1'
_cell_length_a 6.1485
_cell_length_b 4.3077
_cell_length_c 4.3077
_cell_angle_alpha 120.00
_cell_angle_beta 90.00
_cell_angle_gamma 90.00
_symmetry_space_group_name_H-M 'P 1'
_symmetry_Int_Tables_number 1
loop_
_symmetry_equiv_pos_as_xyz
'x,y,z'
loop_
_atom_site_label
_atom_site_type_symbol
_atom_site_fract_x
_atom_site_fract_y
_atom_site_fract_z
Gd1 Gd 0.3482 0.3333 0.6667
Te1 Te 0.6356 0.6667 0.3333
Hg1 Hg 0.0162 0.0000 0.0000
```


Record 2
Computed, not measured: crystalline Li3U2FeSe6 at its relaxed geometry at the PBE level of DFT.

Properties
calculated total energy	-69.576	eV for the cell shown
formation energy without anion corrections	-0.99	eV/atom

Structure (CIF):
```
data_Li3U2FeSe6
_chemical_formula_sum 'Li3 U2 Fe1 Se6'
_cell_length_a 6.8070
_cell_length_b 6.8070
_cell_length_c 6.9139
_cell_angle_alpha 99.43
_cell_angle_beta 99.43
_cell_angle_gamma 120.00
_symmetry_space_group_name_H-M 'P 1'
_symmetry_Int_Tables_number 1
loop_
_symmetry_equiv_pos_as_xyz
'x,y,z'
loop_
_atom_site_label
_atom_site_type_symbol
_atom_site_fract_x
_atom_site_fract_y
_atom_site_fract_z
Li1 Li 0.1673 0.8327 0.5000
Li2 Li 0.8327 0.1673 0.5000
Li3 Li 0.5000 0.5000 0.5000
U1 U 0.3328 0.6672 0.0000
U2 U 0.6672 0.3328 0.0000
Fe1 Fe 0.0000 0.0000 0.0000
Se1 Se 0.9159 0.5967 0.7483
Se2 Se 0.7645 0.7645 0.2481
Se3 Se 0.0841 0.4033 0.2517
Se4 Se 0.5967 0.9159 0.7483
Se5 Se 0.2355 0.2355 0.7519
Se6 Se 0.4033 0.0841 0.2517
```


Record 3
Computed, not measured: crystalline LaPrSm2Dy2 at its relaxed geometry at the PBE level of DFT.

Properties
calculated total energy	-53.577	eV for the cell shown
energy relative to the elements	0.260	eV per atom

Structure (CIF):
```
data_LaPrSm2Dy2
_chemical_formula_sum 'La2 Pr2 Sm4 Dy4'
_cell_length_a 3.4333
_cell_length_b 6.6468
_cell_length_c 18.2703
_cell_angle_alpha 90.00
_cell_angle_beta 90.00
_cell_angle_gamma 90.00
_symmetry_space_group_name_H-M 'P 1'
_symmetry_Int_Tables_number 1
loop_
_symmetry_equiv_pos_as_xyz
'x,y,z'
loop_
_atom_site_label
_atom_site_type_symbol
_atom_site_fract_x
_atom_site_fract_y
_atom_site_fract_z
La1 La 0.0000 0.0000 0.0000
La2 La 0.5000 0.5000 0.5000
Pr1 Pr 0.5000 0.5000 0.0000
Pr2 Pr 0.0000 0.0000 0.5000
Sm1 Sm 0.5000 0.2803 0.3122
Sm2 Sm 0.0000 0.7803 0.1878
Sm3 Sm 0.5000 0.7197 0.6878
Sm4 Sm 0.0000 0.2197 0.8122
Dy1 Dy 0.5000 0.7821 0.3511
Dy2 Dy 0.5000 0.2179 0.6489
Dy3 Dy 0.0000 0.7179 0.8511
Dy4 Dy 0.0000 0.2821 0.1489
```


Record 4
Computed, not measured: crystalline PmMg2SnPb at its relaxed geometry at the PBE level of DFT.

Properties
calculated total energy	-33.562	eV for the cell shown
energy relative to the elements	-0.226	eV per atom

Structure (CIF):
```
data_PmMg2SnPb
_chemical_formula_sum 'Pm2 Mg4 Sn2 Pb2'
_cell_length_a 4.3995
_cell_length_b 8.4371
_cell_length_c 8.0357
_cell_angle_alpha 90.00
_cell_angle_beta 90.00
_cell_angle_gamma 105.11
_symmetry_space_group_name_H-M 'P 1'
_symmetry_Int_Tables_number 1
loop_
_symmetry_equiv_pos_as_xyz
'x,y,z'
loop_
_atom_site_label
_atom_site_type_symbol
_atom_site_fract_x
_atom_site_fract_y
_atom_site_fract_z
Pm1 Pm 0.4063 0.8126 0.7500
Pm2 Pm 0.5937 0.1874 0.2500
Mg1 Mg 0.1756 0.3511 0.9369
Mg2 Mg 0.8244 0.6489 0.0631
Mg3 Mg 0.1756 0.3511 0.5631
Mg4 Mg 0.8244 0.6489 0.4369
Sn1 Sn 0.7439 0.4878 0.7500
Sn2 Sn 0.2561 0.5122 0.2500
Pb1 Pb 0.0000 0.0000 0.0000
Pb2 Pb 0.0000 0.0000 0.5000
```


Record 5
Computed, not measured: crystalline Mg2Zr2In at its relaxed geometry at the PBE level of DFT.

Properties
calculated total energy	-43.764	eV for the cell shown
energy relative to the elements	0.228	eV per atom

Structure (CIF):
```
data_Mg2Zr2In
_chemical_formula_sum 'Mg4 Zr4 In2'
_cell_length_a 8.0649
_cell_length_b 8.0649
_cell_length_c 3.6337
_cell_angle_alpha 90.00
_cell_angle_beta 90.00
_cell_angle_gamma 90.00
_symmetry_space_group_name_H-M 'P 1'
_symmetry_Int_Tables_number 1
loop_
_symmetry_equiv_pos_as_xyz
'x,y,z'
loop_
_atom_site_label
_atom_site_type_symbol
_atom_site_fract_x
_atom_site_fract_y
_atom_site_fract_z
Mg1 Mg 0.1629 0.6629 0.5000
Mg2 Mg 0.6629 0.8371 0.5000
Mg3 Mg 0.8371 0.3371 0.5000
Mg4 Mg 0.3371 0.1629 0.5000
Zr1 Zr 0.3637 0.8637 0.0000
Zr2 Zr 0.8637 0.6363 0.0000
Zr3 Zr 0.6363 0.1363 0.0000
Zr4 Zr 0.1363 0.3637 0.0000
In1 In 0.0000 0.0000 0.0000
In2 In 0.5000 0.5000 0.0000
```


Record 6
Computed, not measured: crystalline CsGa3Re at its relaxed geometry at the PBE level of DFT.

Properties
calculated total energy	-22.415	eV for the cell shown
energy relative to the elements	-0.006	eV per atom
energy relative to the lowest polymorph listed for this composition	0.0000	eV per atom

Structure (CIF):
```
data_CsGa3Re
_chemical_formula_sum 'Cs1 Ga3 Re1'
_cell_length_a 5.0252
_cell_length_b 5.0252
_cell_length_c 5.0252
_cell_angle_alpha 90.00
_cell_angle_beta 90.00
_cell_angle_gamma 90.00
_symmetry_space_group_name_H-M 'P 1'
_symmetry_Int_Tables_number 1
loop_
_symmetry_equiv_pos_as_xyz
'x,y,z'
loop_
_atom_site_label
_atom_site_type_symbol
_atom_site_fract_x
_atom_site_fract_y
_atom_site_fract_z
Cs1 Cs 0.5000 0.5000 0.5000
Re1 Re 0.0000 0.0000 0.0000
Ga1 Ga 0.0000 0.5000 0.0000
Ga2 Ga 0.0000 0.0000 0.5000
Ga3 Ga 0.5000 0.0000 0.0000
```


Record 7
Computed, not measured: crystalline AgSeBr2 at its relaxed geometry at the PBE level of DFT.

Properties
calculated total energy	-9.405	eV for the cell shown
energy relative to the lowest polymorph listed for this composition	0.2252	eV per atom
formation energy without anion corrections	0.07	eV/atom

Structure (CIF):
```
data_AgSeBr2
_chemical_formula_sum 'Ag1 Se1 Br2'
_cell_length_a 3.8854
_cell_length_b 8.1524
_cell_length_c 3.9151
_cell_angle_alpha 90.00
_cell_angle_beta 90.00
_cell_angle_gamma 90.00
_symmetry_space_group_name_H-M 'P 1'
_symmetry_Int_Tables_number 1
loop_
_symmetry_equiv_pos_as_xyz
'x,y,z'
loop_
_atom_site_label
_atom_site_type_symbol
_atom_site_fract_x
_atom_site_fract_y
_atom_site_fract_z
Ag1 Ag 0.0000 0.5000 0.5000
Br1 Br 0.0000 0.0000 0.0000
Br2 Br 0.5000 0.5000 0.0000
Se1 Se 0.5000 0.0000 0.5000
```


Record 8
Computed, not measured: crystalline SiTeCl2 at its relaxed geometry at the PBE level of DFT.

Properties
calculated total energy	-11.831	eV for the cell shown
energy relative to the lowest polymorph listed for this composition	0.4290	eV per atom
formation energy without anion corrections	0.11	eV/atom

Structure (CIF):
```
data_SiTeCl2
_chemical_formula_sum 'Si1 Te1 Cl2'
_cell_length_a 3.5102
_cell_length_b 3.5102
_cell_length_c 9.9624
_cell_angle_alpha 90.00
_cell_angle_beta 90.00
_cell_angle_gamma 125.68
_symmetry_space_group_name_H-M 'P 1'
_symmetry_Int_Tables_number 1
loop_
_symmetry_equiv_pos_as_xyz
'x,y,z'
loop_
_atom_site_label
_atom_site_type_symbol
_atom_site_fract_x
_atom_site_fract_y
_atom_site_fract_z
Cl1 Cl 0.0000 0.0000 0.9608
Cl2 Cl 0.5000 0.5000 0.3112
Si1 Si 0.0000 0.0000 0.4920
Te1 Te 0.5000 0.5000 0.7360
```